An optimized crystal structure of Np2Si4Ir3Pd, computed with GGA-PBE.

Structure (CIF):
```
data_Np2Si4Ir3Pd
_space_group_name_H-M_alt 'P -4 m 2'
_space_group_IT_number 115
_space_group_name_Hall 'P -4 -2'
_cell_length_a 4.132
_cell_length_b 4.132
_cell_length_c 9.975
_cell_angle_alpha 90.00
_cell_angle_beta 90.00
_cell_angle_gamma 90.00
loop_
_atom_site_label
_atom_site_type_symbol
_atom_site_fract_x
_atom_site_fract_y
_atom_site_fract_z
Np1 Np 0.000 0.500 0.240
Si1 Si 0.000 0.000 0.000
Si2 Si 0.000 0.500 0.635
Si3 Si 0.500 0.500 0.000
Ir1 Ir 0.000 0.500 0.872
Ir2 Ir 0.500 0.500 0.500
Pd1 Pd 0.000 0.000 0.500
```

magnetization = 0.76 μB per atom
ρ = 12.38 g/cm3
ΔE_f (raw) = -683 meV/atom
V = 17.03 A^3/atom

---

An optimized crystal structure of TmNpIrPd, computed with GGA-PBE.

Structure (CIF):
```
data_TmNpIrPd
_space_group_name_H-M_alt 'F -4 3 m'
_space_group_IT_number 216
_space_group_name_Hall 'F -4 2 3'
_cell_length_a 6.883
_cell_length_b 6.883
_cell_length_c 6.883
_cell_angle_alpha 90.00
_cell_angle_beta 90.00
_cell_angle_gamma 90.00
loop_
_atom_site_label
_atom_site_type_symbol
_atom_site_fract_x
_atom_site_fract_y
_atom_site_fract_z
Tm1 Tm 0.000 0.000 0.000
Np1 Np 0.000 0.000 0.500
Ir1 Ir 0.250 0.250 0.250
Pd1 Pd 0.250 0.250 0.750
```

magnetization = 1.03 μB per atom
ρ = 14.35 g/cm3
V = 20.38 A^3/atom
E_form = -2.05 eV per formula unit

---

An optimized crystal structure of Pm2NpIr2, computed with GGA-PBE.

Structure (CIF):
```
data_Pm2NpIr2
_space_group_name_H-M_alt 'C 1 2/c 1'
_space_group_IT_number 15
_space_group_name_Hall '-C 2yc'
_cell_length_a 10.479
_cell_length_b 5.962
_cell_length_c 7.881
_cell_angle_alpha 90.00
_cell_angle_beta 101.99
_cell_angle_gamma 90.00
loop_
_atom_site_label
_atom_site_type_symbol
_atom_site_fract_x
_atom_site_fract_y
_atom_site_fract_z
Pm1 Pm 0.150 0.134 0.149
Np1 Np 0.000 0.373 0.750
Ir1 Ir 0.137 0.356 0.503
```

magnetization = 0.80 μB per atom
ρ = 12.57 g/cm3
V = 24.08 A^3/atom
E_form = -2.40 eV per formula unit

---

> magnetization of number 1 (Np2Si4Ir3Pd)?

0.76 μB per atom

---

> Look up the ρ of the first one.

12.38 g/cm3

---

> Which value of ρ does entry 2 give?

14.35 g/cm3

---

> Which of these has the lowest V?

Np2Si4Ir3Pd